1.
A relaxed DyYZnPt crystal. Source: the Alexandria database, functional GGA-PBE.

a b c (Å): 4.500 5.659 5.659
angles (deg): 39.40 90.00 90.00
Sites, in units of the cell vectors:
1 Dy 0.000 0.000 0.000
2 Y 0.500 0.281 0.281
3 Zn 0.500 0.563 0.563
4 Pt 0.000 0.713 0.713

Summary:
Total magnetization   0.000 μB/atom
Space group   No. 38
Offset from the most stable computed form   0.0 meV per atom

2.
A relaxed Dy2ZnPt crystal. Source: the Alexandria database, functional GGA-PBE.

a b c (Å): 4.981 4.981 4.981
angles (deg): 60.00 60.00 60.00
Sites, in units of the cell vectors:
1 Dy 0.250 0.250 0.250
2 Dy 0.750 0.750 0.750
3 Zn 0.000 0.000 0.000
4 Pt 0.500 0.500 0.500

Summary:
Total magnetization   0.000 μB/atom
Space group   No. 225
Energy   -4.92 eV per atom

3.
A relaxed Dy2Zn5Pt crystal. Source: the Alexandria database, functional GGA-PBE.

a b c (Å): 8.496 8.496 9.098
angles (deg): 90.00 90.00 152.60
Sites, in units of the cell vectors:
1 Dy 0.000 0.000 0.000
2 Dy 0.000 0.000 0.500
3 Dy 0.183 0.817 0.750
4 Dy 0.817 0.183 0.250
5 Zn 0.198 0.802 0.108
6 Zn 0.198 0.802 0.392
7 Zn 0.356 0.644 0.021
8 Zn 0.356 0.644 0.479
9 Zn 0.393 0.607 0.750
10 Zn 0.607 0.393 0.250
11 Zn 0.644 0.356 0.521
12 Zn 0.644 0.356 0.979
13 Zn 0.802 0.198 0.608
14 Zn 0.802 0.198 0.892
15 Pt 0.451 0.549 0.250
16 Pt 0.549 0.451 0.750

Summary:
Total magnetization   0.000 μB/atom
Space group   No. 63
Energy   -3.22 eV per atom

4.
A relaxed Dy2ZnPt2 crystal. Source: the Alexandria database, functional GGA-PBE.

a b c (Å): 7.190 7.190 7.190
angles (deg): 120.45 78.99 133.17
Sites, in units of the cell vectors:
1 Dy 0.146 0.158 0.305
2 Dy 0.354 0.658 0.012
3 Dy 0.646 0.342 0.988
4 Dy 0.854 0.842 0.695
5 Zn 0.250 0.750 0.500
6 Zn 0.750 0.250 0.500
7 Pt 0.109 0.760 0.869
8 Pt 0.391 0.260 0.651
9 Pt 0.609 0.740 0.349
10 Pt 0.891 0.240 0.131

Summary:
Total magnetization   0.000 μB/atom
Space group   No. 72
Energy   -5.49 eV per atom

5.
A relaxed Dy2ZnPt crystal. Source: the Alexandria database, functional GGA-PBE.

a b c (Å): 5.848 4.530 7.433
angles (deg): 90.00 112.77 90.00
Sites, in units of the cell vectors:
1 Dy 0.180 0.250 0.415
2 Dy 0.282 0.750 0.073
3 Dy 0.718 0.250 0.927
4 Dy 0.820 0.750 0.585
5 Zn 0.377 0.750 0.703
6 Zn 0.623 0.250 0.297
7 Pt 0.144 0.250 0.792
8 Pt 0.856 0.750 0.208

Summary:
Total magnetization   0.000 μB/atom
Space group   No. 11
Energy   -4.97 eV per atom

6.
A relaxed Dy3ZnPt2 crystal. Source: the Alexandria database, functional GGA-PBE.

a b c (Å): 11.882 3.998 11.704
angles (deg): 90.00 90.00 90.00
Sites, in units of the cell vectors:
1 Dy 0.047 0.250 0.126
2 Dy 0.134 0.750 0.576
3 Dy 0.208 0.250 0.823
4 Dy 0.292 0.750 0.323
5 Dy 0.366 0.250 0.076
6 Dy 0.453 0.750 0.626
7 Dy 0.547 0.250 0.374
8 Dy 0.634 0.750 0.924
9 Dy 0.708 0.250 0.677
10 Dy 0.792 0.750 0.177
11 Dy 0.866 0.250 0.424
12 Dy 0.953 0.750 0.874
13 Zn 0.119 0.250 0.380
14 Zn 0.381 0.750 0.880
15 Zn 0.619 0.250 0.120
16 Zn 0.881 0.750 0.620
17 Pt 0.001 0.250 0.694
18 Pt 0.185 0.750 0.998
19 Pt 0.315 0.250 0.498
20 Pt 0.499 0.750 0.194
21 Pt 0.501 0.250 0.806
22 Pt 0.685 0.750 0.502
23 Pt 0.815 0.250 0.002
24 Pt 0.999 0.750 0.306

Summary:
Total magnetization   0.000 μB/atom
Space group   No. 62
Energy   -5.47 eV per atom

7.
A relaxed Dy3Zn4Pt2 crystal. Source: the Alexandria database, functional GGA-PBE.

a b c (Å): 5.750 5.750 8.480
angles (deg): 113.65 113.65 45.13
Sites, in units of the cell vectors:
1 Dy 0.000 0.000 0.000
2 Dy 0.316 0.316 0.357
3 Dy 0.684 0.684 0.643
4 Zn 0.026 0.026 0.368
5 Zn 0.283 0.283 0.952
6 Zn 0.717 0.717 0.048
7 Zn 0.974 0.974 0.632
8 Pt 0.403 0.403 0.737
9 Pt 0.597 0.597 0.263

Summary:
Total magnetization   0.000 μB/atom
Space group   No. 12
Energy   -4.19 eV per atom

8.
A relaxed Dy6Zn2Pt crystal. Source: the Alexandria database, functional GGA-PBE.

a b c (Å): 8.501 8.501 8.501
angles (deg): 146.20 131.78 60.18
Sites, in units of the cell vectors:
1 Dy 0.085 0.338 0.747
2 Dy 0.244 0.000 0.244
3 Dy 0.409 0.662 0.747
4 Dy 0.591 0.338 0.253
5 Dy 0.756 0.000 0.756
6 Dy 0.915 0.662 0.253
7 Zn 0.333 0.833 0.500
8 Zn 0.667 0.167 0.500
9 Pt 0.000 0.500 0.500

Summary:
Total magnetization   0.000 μB/atom
Space group   No. 71
Offset from the most stable computed form   135.2 meV per atom

9.
A relaxed Dy6Zn5Pt crystal. Source: the Alexandria database, functional GGA-PBE.

a b c (Å): 7.944 7.944 7.085
angles (deg): 90.00 90.00 143.11
Sites, in units of the cell vectors:
1 Dy 0.000 0.000 0.244
2 Dy 0.000 0.000 0.756
3 Dy 0.337 0.663 0.248
4 Dy 0.337 0.663 0.752
5 Dy 0.663 0.337 0.248
6 Dy 0.663 0.337 0.752
7 Zn 0.169 0.831 0.500
8 Zn 0.175 0.825 0.000
9 Zn 0.500 0.500 0.500
10 Zn 0.825 0.175 0.000
11 Zn 0.831 0.169 0.500
12 Pt 0.500 0.500 0.000

Summary:
Total magnetization   0.000 μB/atom
Space group   No. 65
Energy   -3.84 eV per atom

10.
A relaxed Dy2Zn5Pt5 crystal. Source: the Alexandria database, functional GGA-PBE.

a b c (Å): 4.363 5.240 9.224
angles (deg): 90.00 90.00 90.00
Sites, in units of the cell vectors:
1 Dy 0.000 0.000 0.000
2 Dy 0.000 0.500 0.500
3 Zn 0.500 0.000 0.500
4 Zn 0.500 0.251 0.251
5 Zn 0.500 0.251 0.749
6 Zn 0.500 0.749 0.251
7 Zn 0.500 0.749 0.749
8 Pt 0.000 0.000 0.333
9 Pt 0.000 0.000 0.667
10 Pt 0.000 0.500 0.178
11 Pt 0.000 0.500 0.822
12 Pt 0.500 0.500 0.000

Summary:
Total magnetization   0.000 μB/atom
Space group   No. 47
Energy   -4.58 eV per atom

11.
A relaxed DyZnPt crystal. Source: the Alexandria database, functional GGA-PBE.

a b c (Å): 3.966 4.220 7.156
angles (deg): 90.00 90.00 90.00
Sites, in units of the cell vectors:
1 Dy 0.250 0.250 0.158
2 Dy 0.750 0.750 0.842
3 Zn 0.250 0.750 0.502
4 Zn 0.750 0.250 0.498
5 Pt 0.250 0.250 0.748
6 Pt 0.750 0.750 0.252

Summary:
Total magnetization   0.000 μB/atom
Space group   No. 59
Energy   -4.90 eV per atom

12.
A relaxed DyZnPt crystal. Source: the Alexandria database, functional GGA-PBE.

a b c (Å): 4.439 4.439 3.518
angles (deg): 90.00 90.00 120.00
Sites, in units of the cell vectors:
1 Dy 0.000 0.000 0.000
2 Zn 0.333 0.667 0.500
3 Pt 0.667 0.333 0.500

Summary:
Total magnetization   0.000 μB/atom
Space group   No. 187
Energy   -4.85 eV per atom

13.
A relaxed DyZn8Pt4 crystal. Source: the Alexandria database, functional GGA-PBE.

a b c (Å): 6.787 6.787 6.787
angles (deg): 99.44 99.44 132.21
Sites, in units of the cell vectors:
1 Dy 0.000 0.000 0.000
2 Zn 0.000 0.346 0.346
3 Zn 0.000 0.654 0.654
4 Zn 0.284 0.500 0.784
5 Zn 0.346 0.000 0.346
6 Zn 0.500 0.284 0.784
7 Zn 0.500 0.716 0.216
8 Zn 0.654 0.000 0.654
9 Zn 0.716 0.500 0.216
10 Pt 0.000 0.000 0.500
11 Pt 0.000 0.500 0.000
12 Pt 0.500 0.000 0.000
13 Pt 0.500 0.500 0.500

Summary:
Total magnetization   0.000 μB/atom
Space group   No. 139
Energy   -3.52 eV per atom

14.
A relaxed DyZn5Pt3 crystal. Source: the Alexandria database, functional GGA-PBE.

a b c (Å): 7.212 7.212 11.818
angles (deg): 90.00 90.00 148.69
Sites, in units of the cell vectors:
1 Dy 0.193 0.807 0.750
2 Dy 0.807 0.193 0.250
3 Zn 0.000 0.000 0.000
4 Zn 0.000 0.000 0.500
5 Zn 0.197 0.803 0.044
6 Zn 0.197 0.803 0.456
7 Zn 0.439 0.561 0.640
8 Zn 0.439 0.561 0.860
9 Zn 0.561 0.439 0.140
10 Zn 0.561 0.439 0.360
11 Zn 0.803 0.197 0.544
12 Zn 0.803 0.197 0.956
13 Pt 0.138 0.862 0.250
14 Pt 0.383 0.617 0.077
15 Pt 0.383 0.617 0.423
16 Pt 0.617 0.383 0.577
17 Pt 0.617 0.383 0.923
18 Pt 0.862 0.138 0.750

Summary:
Total magnetization   0.000 μB/atom
Space group   No. 63
Energy   -3.79 eV per atom

15.
A relaxed Dy5Zn4Pt crystal. Source: the Alexandria database, functional GGA-PBE.

a b c (Å): 3.572 3.572 17.537
angles (deg): 90.00 90.00 90.00
Sites, in units of the cell vectors:
1 Dy 0.000 0.000 0.000
2 Dy 0.000 0.000 0.203
3 Dy 0.000 0.000 0.405
4 Dy 0.000 0.000 0.595
5 Dy 0.000 0.000 0.797
6 Zn 0.500 0.500 0.102
7 Zn 0.500 0.500 0.301
8 Zn 0.500 0.500 0.699
9 Zn 0.500 0.500 0.898
10 Pt 0.500 0.500 0.500

Summary:
Total magnetization   0.000 μB/atom
Space group   No. 123
Energy   -3.95 eV per atom

16.
A relaxed DyZn9Pt2 crystal. Source: the Alexandria database, functional GGA-PBE.

a b c (Å): 8.240 8.240 8.240
angles (deg): 100.17 100.17 130.32
Sites, in units of the cell vectors:
1 Dy 0.375 0.625 0.750
2 Dy 0.625 0.375 0.250
3 Zn 0.125 0.875 0.250
4 Zn 0.132 0.554 0.336
5 Zn 0.132 0.796 0.577
6 Zn 0.204 0.281 0.336
7 Zn 0.204 0.868 0.923
8 Zn 0.281 0.204 0.836
9 Zn 0.281 0.446 0.077
10 Zn 0.446 0.281 0.577
11 Zn 0.446 0.868 0.164
12 Zn 0.554 0.132 0.836
13 Zn 0.554 0.719 0.423
14 Zn 0.719 0.554 0.923
15 Zn 0.719 0.796 0.164
16 Zn 0.796 0.132 0.077
17 Zn 0.796 0.719 0.664
18 Zn 0.868 0.204 0.423
19 Zn 0.868 0.446 0.664
20 Zn 0.875 0.125 0.750
21 Pt 0.000 0.000 0.000
22 Pt 0.000 0.000 0.500
23 Pt 0.000 0.500 0.000
24 Pt 0.500 0.000 0.500

Summary:
Total magnetization   0.000 μB/atom
Space group   No. 141
Energy   -2.73 eV per atom

17.
A relaxed DyZn12Pt4 crystal. Source: the Alexandria database, functional GGA-PBE.

a b c (Å): 7.536 7.536 7.536
angles (deg): 109.47 109.47 109.47
Sites, in units of the cell vectors:
1 Dy 0.000 0.000 0.000
2 Zn 0.151 0.351 0.502
3 Zn 0.151 0.649 0.800
4 Zn 0.200 0.849 0.351
5 Zn 0.351 0.200 0.849
6 Zn 0.351 0.502 0.151
7 Zn 0.498 0.849 0.649
8 Zn 0.502 0.151 0.351
9 Zn 0.649 0.498 0.849
10 Zn 0.649 0.800 0.151
11 Zn 0.800 0.151 0.649
12 Zn 0.849 0.351 0.200
13 Zn 0.849 0.649 0.498
14 Pt 0.000 0.000 0.500
15 Pt 0.000 0.500 0.000
16 Pt 0.500 0.000 0.000
17 Pt 0.500 0.500 0.500

Summary:
Total magnetization   0.000 μB/atom
Space group   No. 204
Energy   -2.69 eV per atom

18.
A relaxed Dy3Zn3Pt crystal. Source: the Alexandria database, functional GGA-PBE.

a b c (Å): 9.914 9.914 9.914
angles (deg): 158.74 153.96 33.86
Sites, in units of the cell vectors:
1 Dy 0.000 0.000 0.000
2 Dy 0.376 0.376 0.000
3 Dy 0.701 0.201 0.500
4 Zn 0.125 0.625 0.500
5 Zn 0.553 0.553 0.000
6 Zn 0.836 0.836 0.000
7 Pt 0.260 0.760 0.500

Summary:
Total magnetization   0.000 μB/atom
Space group   No. 44
Energy   -3.96 eV per atom

19.
A relaxed DyZn11Pt crystal. Source: the Alexandria database, functional GGA-PBE.

a b c (Å): 6.833 6.833 6.751
angles (deg): 98.20 98.20 135.01
Sites, in units of the cell vectors:
1 Dy 0.000 0.000 0.000
2 Zn 0.000 0.500 0.000
3 Zn 0.011 0.658 0.647
4 Zn 0.287 0.505 0.786
5 Zn 0.342 0.989 0.353
6 Zn 0.495 0.713 0.214
7 Zn 0.500 0.000 0.000
8 Zn 0.500 0.500 0.500
9 Zn 0.505 0.287 0.786
10 Zn 0.658 0.011 0.647
11 Zn 0.713 0.495 0.214
12 Zn 0.989 0.342 0.353
13 Pt 0.000 0.000 0.500

Summary:
Total magnetization   0.000 μB/atom
Space group   No. 12
Energy   -2.17 eV per atom

20.
A relaxed Dy2ZnPt crystal. Source: the Alexandria database, functional GGA-PBE.

a b c (Å): 3.552 3.552 6.950
angles (deg): 90.00 90.00 90.00
Sites, in units of the cell vectors:
1 Dy 0.000 0.000 0.243
2 Dy 0.000 0.000 0.757
3 Zn 0.500 0.500 0.500
4 Pt 0.500 0.500 0.000

Summary:
Total magnetization   0.000 μB/atom
Space group   No. 123
Energy   -4.94 eV per atom